[1]
# Tl3In5Sn2

A relaxed structure of Tl3In5Sn2 (GGA-PBE, the Alexandria database).

Structure (POSCAR):
```
Tl3In5Sn2
1.0
-4.0295 1.6693 -4.8912
6.6359 1.8458 -4.8369
-1.1159 -11.9633 1.2266
Tl In Sn
6 10 4
Direct
0.3683 0.5155 0.7365
0.2500 0.0000 0.0000
0.7500 0.0000 0.0000
0.8683 0.2211 0.7365
0.1317 0.7789 0.2635
0.6317 0.4845 0.2635
0.4159 0.1659 0.3318
0.2729 0.0952 0.5459
0.2271 0.5493 0.4541
0.7729 0.4507 0.5459
0.7271 0.9048 0.4541
0.2500 0.5000 0.0000
0.9159 0.1659 0.3318
0.5841 0.8341 0.6682
0.0841 0.8341 0.6682
0.7500 0.5000 0.0000
0.0840 0.3411 0.1681
0.4160 0.1730 0.8319
0.5840 0.8270 0.1681
0.9160 0.6589 0.8319
```

- DFT formation energy (eV/atom) = 0.05
- crystal system = orthorhombic
- space group = Ibam, No. 72

***

[2]
# Tm6InNi2

A relaxed structure of Tm6InNi2 (GGA-PBE, the Alexandria database).

Structure (POSCAR):
```
Tm6InNi2
1.0
-7.1316 4.2397 -0.0992
1.4273 -3.9573 -7.1518
-0.2869 -5.8547 5.8724
Tm Ni In
12 4 2
Direct
0.4741 0.2903 0.1838
0.3058 0.6303 0.3245
0.2056 0.2345 0.4401
0.6942 0.3697 0.6755
0.7944 0.2345 0.0290
0.2056 0.7655 0.9710
0.7944 0.7655 0.5599
0.1066 0.2903 0.8162
0.3058 0.9813 0.6755
0.5259 0.7097 0.8162
0.8934 0.7097 0.1838
0.6942 0.0187 0.3245
0.3527 0.0000 0.3527
0.5000 0.3769 0.8769
0.5000 0.6231 0.1231
0.6473 0.0000 0.6473
0.0000 0.0000 0.0000
0.0000 0.5000 0.5000
```

- DFT formation energy (eV/atom) = -0.38
- crystal system = orthorhombic
- space group = Immm, No. 71